Entry 1:
Here is a relaxed structure of PrSmPa4 from Alexandria via LeMat-Bulk. Energies are from GGA-PBE.

Calculated values
Total energy (eV per cell): -46.0
Fermi-level density of states (states/eV/atom): 2.53
Formation energy from the elements (meV/atom): 248

Lattice parameters (Å, degrees): 6.1919 6.1919 6.1919 60.00 60.00 60.00
Sites, in units of the cell vectors:
Pr  0.0000  0.0000  0.0000
Sm  0.7500  0.7500  0.7500
Pa  0.3752  0.3752  0.3752
Pa  0.3752  0.3752  0.8745
Pa  0.3752  0.8745  0.3752
Pa  0.8745  0.3752  0.3752

---

Entry 2:
Here is a relaxed structure of Ca2MnSb from Alexandria via LeMat-Bulk. Energies are from GGA-PBE.

Calculated values
Total energy (eV per cell): -17.5
Fermi-level density of states (states/eV/atom): 1.23
ΔE_f (raw) (eV/atom): -0.06

Lattice parameters (Å, degrees): 3.7356 3.7356 8.3263 90.00 90.00 90.00
Sites, in units of the cell vectors:
Ca  0.0000  0.0000  0.0000
Ca  0.5000  0.5000  0.3636
Mn  0.0000  0.0000  0.6144
Sb  0.5000  0.5000  0.7480

---

Entry 3:
Here is a relaxed structure of MgMoPb2 from Alexandria via LeMat-Bulk. Energies are from GGA-PBE.

Calculated values
Total energy (eV per cell): -18.0
Fermi-level density of states (states/eV/atom): 0.61
Formation energy from the elements (meV/atom): 469

Lattice parameters (Å, degrees): 4.9932 5.7555 5.7555 32.98 90.00 90.00
Sites, in units of the cell vectors:
Mg  0.0000  0.0000  0.0000
Mo  0.5000  0.1360  0.1360
Pb  0.0000  0.7307  0.7307
Pb  0.5000  0.4092  0.4092

---

Entry 4:
Here is a relaxed structure of AcNdHgAu from Alexandria via LeMat-Bulk. Energies are from GGA-PBE.

Calculated values
Total energy (eV per cell): -14.8
Fermi-level density of states (states/eV/atom): 0.68
Formation energy from the elements (meV/atom): -587

Lattice parameters (Å, degrees): 5.4929 5.4929 5.4929 60.00 60.00 60.00
Sites, in units of the cell vectors:
Ac  0.0000  0.0000  0.0000
Nd  0.5000  0.5000  0.5000
Hg  0.7500  0.7500  0.7500
Au  0.2500  0.2500  0.2500

---

Entry 5:
Here is a relaxed structure of NbSiSe2 from Alexandria via LeMat-Bulk. Energies are from GGA-PBE.

Calculated values
Total energy (eV per cell): -23.4
Fermi-level density of states (states/eV/atom): 0.36
ΔE_f (raw) (eV/atom): -0.24

Lattice parameters (Å, degrees): 9.0528 9.0528 9.0528 21.25 21.25 21.25
Sites, in units of the cell vectors:
Nb  0.0000  0.0000  0.0000
Si  0.5000  0.5000  0.5000
Se  0.3997  0.3997  0.3997
Se  0.6003  0.6003  0.6003

---

Entry 6:
Here is a relaxed structure of TaTiSi from Alexandria via LeMat-Bulk. Energies are from GGA-PBE.

Calculated values
Total energy (eV per cell): -25.8
Fermi-level density of states (states/eV/atom): 1.12
ΔE_f (raw) (eV/atom): -0.21

Lattice parameters (Å, degrees): 6.4203 6.4203 6.4203 154.78 154.78 35.96
Sites, in units of the cell vectors:
Ta  0.0000  0.0000  0.0000
Ti  0.3082  0.3082  0.0000
Si  0.6574  0.6574  0.0000